Entry 1:
This record from Alexandria describes a geometry-optimized AlCdC2Cl structure. The functional is PBE-GGA. Values from VASP.

Calculated values
- electronic total energy (eV/f.u.) = -11.96
- volume (Å³/f.u.) = 91
- spin magnetization (μB/f.u.) = 0.60
- excess energy over the best structure of this formula in the dataset (meV/atom) = 1239
- space group = P4/mmm (123)

Structure (Quantum ESPRESSO input):
```
&SYSTEM
  ibrav = 0, nat = 5, ntyp = 4
/
ATOMIC_SPECIES
C 12.01 C.upf
Cl 35.45 Cl.upf
Al 26.98 Al.upf
Cd 112.41 Cd.upf
CELL_PARAMETERS angstrom
-0.523 -0.516 4.128
-0.119 -5.135 -0.657
4.159 -0.162 0.507
ATOMIC_POSITIONS angstrom
C -0.262 -0.258 2.064
C 2.079 -0.081 0.253
Cl 0.000 0.000 0.000
Al 1.758 -2.906 1.989
Cd -0.060 -2.568 -0.329
```

=====

Entry 2:
This record from Alexandria describes a geometry-optimized AlCdC2Cl structure. The functional is PBE-GGA. Values from VASP.

Calculated values
- electronic total energy (eV/f.u.) = -18.15
- volume (Å³/f.u.) = 83
- spin magnetization (μB/f.u.) = 1.10
- excess energy over the best structure of this formula in the dataset (meV/atom) = 0
- space group = P4/mmm (123)

Structure (Quantum ESPRESSO input):
```
&SYSTEM
  ibrav = 0, nat = 5, ntyp = 4
/
ATOMIC_SPECIES
C 12.01 C.upf
Cd 112.41 Cd.upf
Al 26.98 Al.upf
Cl 35.45 Cl.upf
CELL_PARAMETERS angstrom
3.964 0.000 0.000
0.000 5.276 0.000
0.000 0.000 3.964
ATOMIC_POSITIONS angstrom
C 0.000 0.000 1.982
C 1.982 0.000 0.000
Cd 1.982 2.638 1.982
Al 0.000 0.000 0.000
Cl 0.000 2.638 0.000
```